No. 1
4
Lattice="0.000 3.393 3.393 3.393 0.000 3.393 3.393 3.393 0.000" Properties=species:S:1:pos:R:3 comment="GdScZnNi (GGA-PBE, optimized geometry)" e_form_kj_per_mol_fu=-125 n_ef_per_ev_cell=3.254 pbc="T T T"
Gd 0.000 0.000 0.000
Sc 3.393 3.393 3.393
Zn 5.090 5.090 5.090
Ni 1.697 1.697 1.697

***

No. 2
4
Lattice="3.541 0.000 0.000 0.000 3.541 0.000 0.000 0.000 6.967" Properties=species:S:1:pos:R:3 comment="Gd2NiSe (GGA-PBE, optimized geometry)" e_form_raw_ev_per_fu=-3.54 n_ef_per_ev_cell=3.269 relative_energy_mev_per_atom=137 pbc="T T T"
Gd 0.000 0.000 1.644
Gd 0.000 0.000 5.323
Ni 1.770 1.770 0.000
Se 1.770 1.770 3.483

***

No. 3
4
Lattice="1.978 1.142 7.098 -1.978 1.142 7.098 0.000 -2.284 7.098" Properties=species:S:1:pos:R:3 comment="Gd2NiSe (GGA-PBE, optimized geometry)" e_form_raw_ev_per_fu=-4.09 n_ef_per_ev_cell=2.799 relative_energy_mev_per_atom=0 pbc="T T T"
Gd 0.000 0.000 5.163
Gd 0.000 0.000 16.131
Ni 0.000 0.000 10.647
Se 0.000 0.000 0.000